Here is a relaxed structure of Sr2TiCdW from Alexandria. Energies are from PBE.

Results
ΔE_f = 931 kJ/mol of formula units
Crystal system = tetragonal
SG = P4/mmm, No. 123
Density of states at the Fermi level = 9.2 states/eV per cell

Lattice parameters (Å, degrees): 5.665 5.665 5.135 90.00 90.00 90.00
Fractional coordinates of all 5 atoms:
Sr: 0.000 0.500 0.000
Sr: 0.500 0.000 0.000
Ti: 0.000 0.000 0.000
Cd: 0.000 0.000 0.500
W: 0.500 0.500 0.500

Here is a relaxed structure of Ac6Te3Rh2Au from Alexandria. Energies are from PBE.

Results
E_form (uncorrected) = -1123 meV per atom
Crystal system = monoclinic
SG = C2/m, No. 12
Density of states at the Fermi level = 7.2 states/eV per cell

Lattice parameters (Å, degrees): 7.726 7.726 8.458 98.76 98.76 119.99
Fractional coordinates of all 12 atoms:
Ac: 0.078 0.429 0.785
Ac: 0.220 0.220 0.212
Ac: 0.429 0.078 0.785
Ac: 0.571 0.922 0.215
Ac: 0.780 0.780 0.788
Ac: 0.922 0.571 0.215
Te: 0.000 0.000 0.500
Te: 0.338 0.662 0.500
Te: 0.662 0.338 0.500
Rh: 0.167 0.833 0.000
Rh: 0.833 0.167 0.000
Au: 0.500 0.500 0.000

Here is a relaxed structure of ZrI2 from Alexandria. Energies are from PBE.

Results
E_form (uncorrected) = -875 meV per atom
Crystal system = monoclinic
SG = P2_1/m, No. 11

Lattice parameters (Å, degrees): 6.918 3.770 16.472 90.00 94.87 90.00
Fractional coordinates of all 12 atoms:
Zr: 0.187 0.250 0.497
Zr: 0.312 0.750 0.997
Zr: 0.688 0.250 0.003
Zr: 0.813 0.750 0.503
I: 0.054 0.750 0.366
I: 0.099 0.250 0.100
I: 0.392 0.250 0.866
I: 0.441 0.750 0.600
I: 0.559 0.250 0.400
I: 0.608 0.750 0.134
I: 0.901 0.750 0.900
I: 0.946 0.250 0.634